Entry 1:
Computed, not measured: a relaxed structure of BeNiRh2 at the GGA-PBEsol level of DFT.

Computed properties:
Calculated volume in Å³/atom: 11.9
Space-group type: Pmmm (47)
E_form in kJ/mol of atoms: -1

Cell: 2.696 4.055 4.344 Å, 90.00 90.00 90.00°
Fractional coordinates of all 4 atoms:
Be 0.500 0.500 0.000
Ni 0.000 0.500 0.500
Rh 0.000 0.000 0.000
Rh 0.500 0.000 0.500



Entry 2:
Computed, not measured: a relaxed structure of Sc2TcAsPd at the GGA-PBEsol level of DFT.

Computed properties:
Calculated volume in Å³/atom: 22.1
Space-group type: P4/mmm (123)
E_form in kJ/mol of atoms: 39

Cell: 4.596 4.905 4.905 Å, 90.00 90.00 90.00°
Fractional coordinates of all 5 atoms:
Sc 0.000 0.000 0.500
Sc 0.000 0.500 0.000
As 0.500 0.500 0.500
Tc 0.000 0.000 0.000
Pd 0.500 0.000 0.000



Entry 3:
Computed, not measured: a relaxed structure of CsCaI3 at the GGA-PBEsol level of DFT.

Computed properties:
Calculated volume in Å³/atom: 43.8
Space-group type: Pnma (62)
Raw formation energy in meV/atom: -1595

Cell: 8.323 8.664 12.155 Å, 90.00 90.00 90.00°
Fractional coordinates of all 20 atoms:
Cs 0.022 0.436 0.250
Cs 0.978 0.564 0.750
Cs 0.522 0.064 0.750
Cs 0.478 0.936 0.250
Ca 0.000 0.000 0.000
Ca 0.500 0.500 0.000
Ca 0.000 0.000 0.500
Ca 0.500 0.500 0.500
I 0.302 0.201 0.030
I 0.698 0.799 0.970
I 0.802 0.299 0.970
I 0.698 0.799 0.530
I 0.198 0.701 0.030
I 0.302 0.201 0.470
I 0.198 0.701 0.470
I 0.802 0.299 0.530
I 0.560 0.502 0.250
I 0.440 0.498 0.750
I 0.060 0.998 0.750
I 0.940 0.002 0.250



Entry 4:
Computed, not measured: a relaxed structure of SrTaTe2 at the GGA-PBEsol level of DFT.

Computed properties:
Calculated volume in Å³/atom: 24.2
Space-group type: P4/mmm (123)
Raw formation energy in meV/atom: -449

Cell: 3.530 3.530 7.770 Å, 90.00 90.00 90.00°
Fractional coordinates of all 4 atoms:
Sr 0.500 0.500 0.000
Te 0.000 0.000 0.708
Te 0.000 0.000 0.292
Ta 0.500 0.500 0.500



Entry 5:
Computed, not measured: a relaxed structure of Ni2AsW at the GGA-PBEsol level of DFT.

Computed properties:
Calculated volume in Å³/atom: 12.7
Space-group type: I-4m2 (119)
E_form in kJ/mol of atoms: 10

Cell: 4.165 4.165 4.156 Å, 120.08 120.08 90.00°
Fractional coordinates of all 4 atoms:
As 0.250 0.750 0.500
Ni 0.000 0.000 0.000
Ni 0.750 0.250 0.500
W 0.500 0.500 0.000



Entry 6:
Computed, not measured: a relaxed structure of Li2VFeP2O8F2 at the GGA-PBEsol level of DFT.

Computed properties:
Calculated volume in Å³/atom: 10.9
Space-group type: P-1 (2)
Raw formation energy in meV/atom: -2265

Cell: 5.118 5.328 7.287 Å, 106.86 108.79 98.42°
Fractional coordinates of all 16 atoms:
Li 0.734 0.378 0.808
Li 0.266 0.622 0.192
V 0.000 0.000 0.000
Fe 0.000 0.000 0.500
P 0.319 0.640 0.762
P 0.681 0.360 0.238
O 0.635 0.773 0.922
O 0.365 0.227 0.078
O 0.244 0.775 0.602
O 0.756 0.225 0.398
O 0.319 0.340 0.670
O 0.681 0.660 0.330
O 0.879 0.336 0.112
O 0.121 0.664 0.888
F 0.135 0.936 0.259
F 0.865 0.064 0.741



Entry 7:
Computed, not measured: a relaxed structure of Cd5Cu3 at the GGA-PBEsol level of DFT.

Computed properties:
Calculated volume in Å³/atom: 16.6
Space-group type: P4/mmm (123)
E_form in kJ/mol of atoms: 4

Cell: 3.191 3.191 13.046 Å, 90.00 90.00 90.00°
Fractional coordinates of all 8 atoms:
Cd 0.000 0.000 0.000
Cd 0.000 0.000 0.232
Cd 0.000 0.000 0.768
Cd 0.500 0.500 0.384
Cd 0.500 0.500 0.616
Cu 0.000 0.000 0.500
Cu 0.500 0.500 0.114
Cu 0.500 0.500 0.886



Entry 8:
Computed, not measured: a relaxed structure of HgTe2N2 at the GGA-PBEsol level of DFT.

Computed properties:
Calculated volume in Å³/atom: 23.3
Space-group type: P4/mmm (123)
Raw formation energy in meV/atom: 1733

Cell: 4.295 4.295 6.309 Å, 90.00 90.00 90.00°
Fractional coordinates of all 5 atoms:
Te 0.500 0.500 0.500
Te 0.000 0.000 0.500
Hg 0.000 0.000 0.000
N 0.000 0.500 0.000
N 0.500 0.000 0.000



Entry 9:
Computed, not measured: a relaxed structure of LiAgF4 at the GGA-PBEsol level of DFT.

Computed properties:
Calculated volume in Å³/atom: 11.6
Space-group type: I4/mcm (140)
Raw formation energy in meV/atom: -1699

Cell: 5.287 5.287 6.238 Å, 115.08 115.08 90.00°
Fractional coordinates of all 12 atoms:
Li 0.250 0.250 0.500
Li 0.750 0.750 0.500
Ag 0.000 0.500 0.000
Ag 0.500 0.000 0.000
F 0.552 0.680 0.732
F 0.052 0.552 0.732
F 0.820 0.948 0.268
F 0.680 0.180 0.732
F 0.320 0.820 0.268
F 0.180 0.052 0.732
F 0.948 0.448 0.268
F 0.448 0.320 0.268



Entry 10:
Computed, not measured: a relaxed structure of NaZr3Ir at the GGA-PBEsol level of DFT.

Computed properties:
Calculated volume in Å³/atom: 21.1
Space-group type: Pm-3m (221)
E_form in kJ/mol of atoms: 164

Cell: 4.728 4.728 4.728 Å, 90.00 90.00 90.00°
Fractional coordinates of all 5 atoms:
Na 0.000 0.000 0.000
Ir 0.500 0.500 0.500
Zr 0.000 0.500 0.000
Zr 0.000 0.000 0.500
Zr 0.500 0.000 0.000



Entry 11:
Computed, not measured: a relaxed structure of K2BF at the GGA-PBEsol level of DFT.

Computed properties:
Calculated volume in Å³/atom: 28.0
Space-group type: I-42d (122)
Raw formation energy in meV/atom: -188

Cell: 6.665 6.665 6.665 Å, 101.12 113.80 113.80°
Fractional coordinates of all 8 atoms:
K 0.069 0.694 0.125
K 0.931 0.056 0.625
K 0.431 0.375 0.306
K 0.569 0.875 0.944
B 0.000 0.500 0.500
B 0.500 0.250 0.750
F 0.000 0.000 0.000
F 0.500 0.750 0.250



Entry 12:
Computed, not measured: a relaxed structure of SrIr2Pb at the GGA-PBEsol level of DFT.

Computed properties:
Calculated volume in Å³/atom: 19.5
Space-group type: I-4m2 (119)
E_form in kJ/mol of atoms: 40

Cell: 4.127 4.127 5.438 Å, 112.30 112.30 90.00°
Fractional coordinates of all 4 atoms:
Ir 0.000 0.000 0.000
Ir 0.750 0.250 0.500
Pb 0.500 0.500 0.000
Sr 0.250 0.750 0.500



Entry 13:
Computed, not measured: a relaxed structure of C2Se3 at the GGA-PBEsol level of DFT.

Computed properties:
Calculated volume in Å³/atom: 16.1
Space-group type: R-3m (166)
Raw formation energy in meV/atom: 1409

Cell: 3.037 3.037 10.252 Å, 81.48 81.48 60.00°
Fractional coordinates of all 5 atoms:
C 0.594 0.594 0.217
C 0.406 0.406 0.783
Se 0.000 0.000 0.000
Se 0.226 0.226 0.322
Se 0.774 0.774 0.678



Entry 14:
Computed, not measured: a relaxed structure of Fe2SbAu at the GGA-PBEsol level of DFT.

Computed properties:
Calculated volume in Å³/atom: 15.3
Space-group type: Cm (8)
Raw formation energy in meV/atom: 239

Cell: 3.064 4.431 4.972 Å, 106.60 107.94 90.00°
Fractional coordinates of all 4 atoms:
Au 0.269 0.796 0.538
Fe 0.024 0.991 0.047
Fe 0.723 0.251 0.445
Sb 0.485 0.462 0.969



Entry 15:
Computed, not measured: a relaxed structure of AlCdMo2 at the GGA-PBEsol level of DFT.

Computed properties:
Calculated volume in Å³/atom: 16.4
Space-group type: P4mm (99)
E_form in kJ/mol of atoms: 10

Cell: 3.218 3.218 6.333 Å, 90.00 90.00 90.00°
Fractional coordinates of all 4 atoms:
Mo 0.000 0.000 0.038
Mo 0.500 0.500 0.239
Al 0.000 0.000 0.479
Cd 0.500 0.500 0.745



Entry 16:
Computed, not measured: a relaxed structure of K2WSe4 at the GGA-PBEsol level of DFT.

Computed properties:
Calculated volume in Å³/atom: 30.3
Space-group type: Pnma (62)
Raw formation energy in meV/atom: -752

Cell: 7.044 9.717 12.410 Å, 90.00 90.00 90.00°
Fractional coordinates of all 28 atoms:
K 0.250 0.451 0.347
K 0.750 0.549 0.653
K 0.250 0.951 0.153
K 0.750 0.049 0.847
K 0.250 0.157 0.614
K 0.750 0.843 0.386
K 0.250 0.657 0.886
K 0.750 0.343 0.114
W 0.250 0.750 0.568
W 0.750 0.750 0.068
W 0.250 0.250 0.932
W 0.750 0.250 0.432
Se 0.750 0.219 0.617
Se 0.750 0.719 0.883
Se 0.250 0.281 0.117
Se 0.250 0.017 0.884
Se 0.250 0.517 0.616
Se 0.750 0.483 0.384
Se 0.987 0.357 0.859
Se 0.750 0.983 0.116
Se 0.513 0.857 0.641
Se 0.013 0.143 0.359
Se 0.513 0.357 0.859
Se 0.487 0.643 0.141
Se 0.487 0.143 0.359
Se 0.987 0.857 0.641
Se 0.013 0.643 0.141
Se 0.250 0.781 0.383



Entry 17:
Computed, not measured: a relaxed structure of HgPtSe2 at the GGA-PBEsol level of DFT.

Computed properties:
Calculated volume in Å³/atom: 20.0
Space-group type: Amm2 (38)
Raw formation energy in meV/atom: 4

Cell: 2.810 3.670 7.875 Å, 90.00 100.28 90.00°
Fractional coordinates of all 4 atoms:
Hg 0.799 0.000 0.472
Pt 0.186 0.500 0.247
Se 0.081 0.000 0.038
Se 0.934 0.500 0.742



Entry 18:
Computed, not measured: a relaxed structure of SrCaCu2 at the GGA-PBEsol level of DFT.

Computed properties:
Calculated volume in Å³/atom: 24.8
Space-group type: Cm (8)
E_form in kJ/mol of atoms: -5

Cell: 4.215 4.248 5.929 Å, 90.01 110.82 90.00°
Fractional coordinates of all 4 atoms:
Sr 0.520 0.376 0.040
Ca 0.239 0.876 0.478
Cu 0.926 0.874 0.853
Cu 0.815 0.374 0.630



Entry 19:
Computed, not measured: a relaxed structure of NiPb2Se at the GGA-PBEsol level of DFT.

Computed properties:
Calculated volume in Å³/atom: 22.2
Space-group type: F-43m (216)
Raw formation energy in meV/atom: 403

Cell: 5.008 5.008 5.008 Å, 60.00 60.00 60.00°
Fractional coordinates of all 4 atoms:
Ni 0.500 0.500 0.500
Pb 0.000 0.000 0.000
Pb 0.750 0.750 0.750
Se 0.250 0.250 0.250



Entry 20:
Computed, not measured: a relaxed structure of Cs2ZrI6 at the GGA-PBEsol level of DFT.

Computed properties:
Calculated volume in Å³/atom: 42.4
Space-group type: Fm-3m (225)
Raw formation energy in meV/atom: -1248

Cell: 8.144 8.144 8.144 Å, 60.00 60.00 60.00°
Fractional coordinates of all 9 atoms:
Cs 0.250 0.250 0.250
Cs 0.750 0.750 0.750
I 0.247 0.753 0.247
I 0.247 0.247 0.753
I 0.753 0.753 0.247
I 0.753 0.247 0.753
I 0.753 0.247 0.247
I 0.247 0.753 0.753
Zr 0.000 0.000 0.000



Entry 21:
Computed, not measured: a relaxed structure of ZnTe4Se at the GGA-PBEsol level of DFT.

Computed properties:
Calculated volume in Å³/atom: 27.5
Space-group type: F-43m (216)
Raw formation energy in meV/atom: 551

Cell: 6.160 6.160 6.160 Å, 60.00 60.00 60.00°
Fractional coordinates of all 6 atoms:
Se 0.000 0.000 0.000
Te 0.877 0.374 0.374
Te 0.374 0.374 0.374
Te 0.374 0.374 0.877
Te 0.374 0.877 0.374
Zn 0.750 0.750 0.750



Entry 22:
Computed, not measured: a relaxed structure of TlIn3 at the GGA-PBEsol level of DFT.

Computed properties:
Calculated volume in Å³/atom: 26.0
Space-group type: R-3m (166)
E_form in kJ/mol of atoms: 1

Cell: 3.360 3.360 10.795 Å, 81.05 81.05 60.00°
Fractional coordinates of all 4 atoms:
Tl 0.000 0.000 0.000
In 0.752 0.752 0.743
In 0.500 0.500 0.500
In 0.248 0.248 0.257



Entry 23:
Computed, not measured: a relaxed structure of FeAgCl at the GGA-PBEsol level of DFT.

Computed properties:
Calculated volume in Å³/atom: 16.3
Space-group type: P3m1 (156)
Raw formation energy in meV/atom: 74

Cell: 3.004 3.004 6.238 Å, 90.00 90.00 120.00°
Fractional coordinates of all 3 atoms:
Fe 0.333 0.667 0.360
Ag 0.000 0.000 0.029
Cl 0.667 0.333 0.611



Entry 24:
Computed, not measured: a relaxed structure of YCu4 at the GGA-PBEsol level of DFT.

Computed properties:
Calculated volume in Å³/atom: 15.1
Space-group type: I-43m (217)
E_form in kJ/mol of atoms: -10

Cell: 7.324 7.324 7.324 Å, 109.47 109.47 109.47°
Fractional coordinates of all 20 atoms:
Cu 0.000 0.204 0.000
Cu 0.204 0.000 0.000
Cu 0.000 0.000 0.204
Cu 0.796 0.796 0.796
Cu 0.644 0.000 0.644
Cu 0.356 0.000 0.356
Cu 0.000 0.356 0.356
Cu 0.000 0.644 0.644
Cu 0.356 0.356 0.000
Cu 0.644 0.644 0.000
Cu 0.750 0.500 0.250
Cu 0.250 0.500 0.750
Cu 0.500 0.750 0.250
Cu 0.500 0.250 0.750
Cu 0.750 0.250 0.500
Cu 0.250 0.750 0.500
Y 0.000 0.570 0.000
Y 0.570 0.000 0.000
Y 0.000 0.000 0.570
Y 0.430 0.430 0.430



Entry 25:
Computed, not measured: a relaxed structure of K4MoOs at the GGA-PBEsol level of DFT.

Computed properties:
Calculated volume in Å³/atom: 29.5
Space-group type: F-43m (216)
E_form in kJ/mol of atoms: 200

Cell: 6.302 6.302 6.302 Å, 60.00 60.00 60.00°
Fractional coordinates of all 6 atoms:
K 0.374 0.374 0.374
K 0.374 0.374 0.878
K 0.878 0.374 0.374
K 0.374 0.878 0.374
Mo 0.750 0.750 0.750
Os 0.000 0.000 0.000



Ρ per entry: 9.56, 5.54, 4.20, 8.98, 12.28, 3.33, 9.41, 6.90, 4.54, 7.68, 1.60, 14.43, 5.37, 11.67, 8.39, 4.52, 11.50, 4.26, 10.32, 4.86, 6.58, 8.78, 6.78, 7.53, 4.15 g cm⁻³